The following is a PBEsol calculation of a geometry-optimized BaNa2Sb2 structure, from the Alexandria database.

Results
Crystal system   tetragonal
Energy above the most stable polymorph in this dataset   0 meV/atom
Space group   I4/mmm
Uncorrected formation energy   -617 meV/atom

Cell lengths 4.900, 4.900, 7.556 Å; angles 108.92, 108.92, 90.00 degrees
Fractional coordinates of all 5 atoms:
Sb 0.394 0.394 0.788
Sb 0.606 0.606 0.212
Ba 0.000 0.000 0.000
Na 0.250 0.750 0.500
Na 0.750 0.250 0.500

***

The following is a PBEsol calculation of a geometry-optimized BaNa2Sb2 structure, from the Alexandria database.

Results
Crystal system   tetragonal
Energy above the most stable polymorph in this dataset   203 meV/atom
Space group   P4/mbm
Uncorrected formation energy   -414 meV/atom

Cell lengths 3.479, 9.439, 9.439 Å; angles 90.00, 90.00, 90.00 degrees
Each line ends with the local moment (μB).
Fractional coordinates of all 10 atoms:
Sb 0.000 0.325 0.825  0.00
Sb 0.000 0.825 0.675  0.00
Sb 0.000 0.675 0.175  0.00
Sb 0.000 0.175 0.325  0.00
Ba 0.000 0.000 0.000  0.09
Ba 0.000 0.500 0.500  0.09
Na 0.500 0.120 0.620  0.00
Na 0.500 0.620 0.880  0.00
Na 0.500 0.880 0.380  0.00
Na 0.500 0.380 0.120  0.00

***

The following is a PBEsol calculation of a geometry-optimized BaNa3Sc structure, from the Alexandria database.

Results
Crystal system   cubic
Space group   Pm-3m

Cell lengths 6.027, 6.027, 6.027 Å; angles 90.00, 90.00, 90.00 degrees
Each line ends with the local moment (μB).
Fractional coordinates of all 5 atoms:
Sc 0.000 0.000 0.000  0.86
Na 0.000 0.500 0.000  0.02
Na 0.000 0.000 0.500  0.02
Na 0.500 0.000 0.000  0.02
Ba 0.500 0.500 0.500  0.04

***

The following is a PBEsol calculation of a geometry-optimized Ba3NaSi23 structure, from the Alexandria database.

Results
Crystal system   cubic
Space group   Pm-3n
Uncorrected formation energy   -155 meV/atom

Cell lengths 10.241, 10.241, 10.241 Å; angles 90.00, 90.00, 90.00 degrees
Fractional coordinates of all 54 atoms:
Ba 0.250 0.500 0.000
Ba 0.000 0.250 0.500
Ba 0.000 0.750 0.500
Ba 0.500 0.000 0.750
Ba 0.500 0.000 0.250
Ba 0.750 0.500 0.000
Na 0.000 0.000 0.000
Na 0.500 0.500 0.500
Si 0.316 0.684 0.316
Si 0.500 0.380 0.195
Si 0.500 0.620 0.805
Si 0.380 0.195 0.500
Si 0.620 0.195 0.500
Si 0.195 0.500 0.380
Si 0.250 0.000 0.500
Si 0.750 0.000 0.500
Si 0.000 0.500 0.250
Si 0.000 0.500 0.750
Si 0.500 0.750 0.000
Si 0.500 0.250 0.000
Si 0.184 0.184 0.184
Si 0.684 0.316 0.684
Si 0.684 0.684 0.316
Si 0.316 0.684 0.684
Si 0.816 0.816 0.184
Si 0.184 0.816 0.816
Si 0.816 0.184 0.816
Si 0.316 0.316 0.316
Si 0.816 0.816 0.816
Si 0.816 0.184 0.184
Si 0.316 0.316 0.684
Si 0.684 0.316 0.316
Si 0.184 0.184 0.816
Si 0.184 0.816 0.184
Si 0.000 0.695 0.120
Si 0.684 0.684 0.684
Si 0.000 0.305 0.120
Si 0.500 0.380 0.805
Si 0.500 0.620 0.195
Si 0.620 0.805 0.500
Si 0.380 0.805 0.500
Si 0.195 0.500 0.620
Si 0.805 0.500 0.620
Si 0.120 0.000 0.305
Si 0.305 0.120 0.000
Si 0.695 0.880 0.000
Si 0.120 0.000 0.695
Si 0.695 0.120 0.000
Si 0.880 0.000 0.305
Si 0.880 0.000 0.695
Si 0.305 0.880 0.000
Si 0.000 0.695 0.880
Si 0.000 0.305 0.880
Si 0.805 0.500 0.380

***

The following is a PBEsol calculation of a geometry-optimized BaNa2Sn2 structure, from the Alexandria database.

Results
Crystal system   tetragonal
Space group   I4/mmm

Cell lengths 4.882, 4.882, 7.734 Å; angles 108.40, 108.40, 90.00 degrees
Fractional coordinates of all 5 atoms:
Na 0.250 0.750 0.500
Na 0.750 0.250 0.500
Ba 0.000 0.000 0.000
Sn 0.401 0.401 0.802
Sn 0.599 0.599 0.198

***

The following is a PBEsol calculation of a geometry-optimized BaNa3Sn structure, from the Alexandria database.

Results
Crystal system   cubic
Space group   Pm-3m

Cell lengths 6.139, 6.139, 6.139 Å; angles 90.00, 90.00, 90.00 degrees
Each line ends with the local moment (μB).
Fractional coordinates of all 5 atoms:
Na 0.000 0.500 0.000  0.01
Na 0.000 0.000 0.500  0.01
Na 0.500 0.000 0.000  0.01
Ba 0.000 0.000 0.000  0.06
Sn 0.500 0.500 0.500  -0.01

***

The following is a PBEsol calculation of a geometry-optimized Ba2NaSr structure, from the Alexandria database.

Results
Crystal system   cubic
Space group   Fm-3m

Cell lengths 6.723, 6.723, 6.723 Å; angles 60.00, 60.00, 60.00 degrees
Fractional coordinates of all 4 atoms:
Sr 0.500 0.500 0.500
Ba 0.250 0.250 0.250
Ba 0.750 0.750 0.750
Na 0.000 0.000 0.000

***

The following is a PBEsol calculation of a geometry-optimized BaNa2Sr2 structure, from the Alexandria database.

Results
Crystal system   tetragonal
Space group   P4/mbm

Cell lengths 4.089, 10.855, 10.855 Å; angles 90.00, 90.00, 90.00 degrees
Fractional coordinates of all 10 atoms:
Sr 0.000 0.368 0.868
Sr 0.000 0.868 0.632
Sr 0.000 0.632 0.132
Sr 0.000 0.132 0.368
Ba 0.000 0.000 0.000
Ba 0.000 0.500 0.500
Na 0.500 0.165 0.665
Na 0.500 0.665 0.835
Na 0.500 0.835 0.335
Na 0.500 0.335 0.165

***

The following is a PBEsol calculation of a geometry-optimized BaNa3Sr structure, from the Alexandria database.

Results
Crystal system   cubic
Space group   Pm-3m

Cell lengths 6.519, 6.519, 6.519 Å; angles 90.00, 90.00, 90.00 degrees
Fractional coordinates of all 5 atoms:
Sr 0.500 0.500 0.500
Ba 0.000 0.000 0.000
Na 0.000 0.500 0.000
Na 0.000 0.000 0.500
Na 0.500 0.000 0.000

***

The following is a PBEsol calculation of a geometry-optimized BaNaTe2 structure, from the Alexandria database.

Results
Crystal system   cubic
Space group   Fm-3m
Uncorrected formation energy   -1051 meV/atom

Cell lengths 5.723, 5.723, 5.723 Å; angles 59.97, 59.97, 59.97 degrees
Fractional coordinates of all 4 atoms:
Na 0.500 0.500 0.500
Te 0.750 0.750 0.750
Te 0.250 0.250 0.250
Ba 0.000 0.000 0.000

***

The following is a PBEsol calculation of a geometry-optimized BaNaTi2 structure, from the Alexandria database.

Results
Crystal system   cubic
Space group   Fm-3m

Cell lengths 5.264, 5.264, 5.264 Å; angles 60.00, 60.00, 60.00 degrees
Each line ends with the local moment (μB).
Fractional coordinates of all 4 atoms:
Na 0.000 0.000 0.000  0.00
Ba 0.500 0.500 0.500  0.21
Ti 0.250 0.250 0.250  1.32
Ti 0.750 0.750 0.750  1.32

***

The following is a PBEsol calculation of a geometry-optimized Ba2NaTiW structure, from the Alexandria database.

Results
Crystal system   tetragonal
Space group   P4/mmm

Cell lengths 4.725, 6.236, 6.236 Å; angles 90.00, 90.00, 90.00 degrees
Fractional coordinates of all 5 atoms:
Na 0.500 0.500 0.500
Ba 0.000 0.000 0.500
Ba 0.000 0.500 0.000
W 0.000 0.000 0.000
Ti 0.500 0.000 0.000

***

These records have uncorrected energy values of -17.149; -32.264; -9.807; -288.401; -15.334; -6.175; -7.250; -16.277; -5.539; -14.805; -15.614; -23.373 eV for the cell shown, in the order they appear.